Entry 1:
The following is a DFT calculation (GGA-PBE) of a relaxed TlFeSn2Ge crystal.

Results
* V: 23.8 A^3/atom
* space group: P4/mmm, No. 123
* DFT total energy: -22.70 eV/cell
* formation energy: 0.150 eV/atom

The structure in POSCAR format:
```
TlFeSn2Ge
1.0
5.109 0.000 0.000
0.000 5.109 0.000
0.000 0.000 4.563
Sn Ge Fe Tl
2 1 1 1
Direct
0.500 0.000 0.000
0.000 0.500 0.000
0.000 0.000 0.500
0.000 0.000 0.000
0.500 0.500 0.500
```

=====

Entry 2:
The following is a DFT calculation (GGA-PBE) of a relaxed Sr3FeGe crystal.

Results
* V: 41.7 A^3/atom
* space group: Pm-3m, No. 221
* DFT total energy: -16.07 eV/cell
* formation energy: 0.411 eV/atom

The structure in POSCAR format:
```
Sr3FeGe
1.0
-0.168 -5.369 2.516
5.617 0.662 1.788
-1.899 2.434 5.065
Sr Ge Fe
3 1 1
Direct
0.000 0.000 0.500
0.500 0.000 0.000
0.000 0.500 0.000
0.000 0.000 0.000
0.500 0.500 0.500
```

=====

Entry 3:
The following is a DFT calculation (GGA-PBE) of a relaxed SrFeGe2 crystal.

Results
* V: 21.1 A^3/atom
* space group: R-3m, No. 166
* DFT total energy: -20.49 eV/cell
* formation energy: -0.277 eV/atom

The structure in POSCAR format:
```
SrFeGe2
1.0
4.101 0.000 0.000
2.051 3.552 0.000
2.051 1.184 5.782
Fe Ge Sr
1 2 1
Direct
0.000 0.000 0.000
0.289 0.289 0.134
0.711 0.711 0.866
0.500 0.500 0.500
```

=====

- The lowest V belongs to which entry?
  SrFeGe2

=====

- Which of these has the lowest V?
  SrFeGe2

=====

- Which value of formation energy does entry 3 give?
  -0.277 eV/atom